Entry 1:
# LaTeAuI2

A relaxed structure of LaTeAuI2 (GGA-PBEsol, Alexandria).

Geometry as POSCAR:
```
LaTeAuI2
1.0
6.038 0.000 0.000
0.000 6.038 0.000
0.000 0.000 6.265
I La Au Te
2 1 1 1
Direct
0.000 0.500 0.000 I
0.500 0.000 0.000 I
0.000 0.000 0.000 La
0.500 0.500 0.500 Au
0.000 0.000 0.500 Te
```

Values from the calculation:
- total DFT energy (no corrections) (eV for the cell shown) = -16.947
- energy relative to the elements, uncorrected (eV per atom) = -0.12
- size of the total moment (μB per cell) = 0.000

---

Entry 2:
# Li3AuI

A relaxed structure of Li3AuI (GGA-PBEsol, Alexandria).

Geometry as POSCAR:
```
Li3AuI
1.0
4.946 0.000 0.000
0.000 4.946 0.000
0.000 0.000 4.946
Li I Au
3 1 1
Direct
0.500 0.000 0.000 Li
0.000 0.000 0.500 Li
0.000 0.500 0.000 Li
0.500 0.500 0.500 I
0.000 0.000 0.000 Au
```

Values from the calculation:
- total DFT energy (no corrections) (eV for the cell shown) = -13.491
- energy relative to the elements, uncorrected (eV per atom) = -0.38
- size of the total moment (μB per cell) = 0.000

---

Entry 3:
# LiAuI2

A relaxed structure of LiAuI2 (GGA-PBEsol, Alexandria).

Geometry as POSCAR:
```
LiAuI2
1.0
6.291 0.000 0.000
0.000 6.291 0.000
-3.145 -3.145 6.459
I Li Au
4 2 2
Direct
0.125 0.128 0.750 I
0.378 0.875 0.250 I
0.872 0.375 0.250 I
0.625 0.622 0.750 I
0.750 0.250 0.500 Li
0.500 0.500 0.000 Li
0.250 0.750 0.500 Au
0.000 0.000 0.000 Au
```

Values from the calculation:
- total DFT energy (no corrections) (eV for the cell shown) = -23.022
- energy relative to the elements, uncorrected (eV per atom) = -0.52
- size of the total moment (μB per cell) = 0.000

---

Entry 4:
# Mg2Au2I

A relaxed structure of Mg2Au2I (GGA-PBEsol, Alexandria).

Geometry as POSCAR:
```
Mg2Au2I
1.0
-0.751 1.564 4.057
-4.271 -1.036 -0.391
3.588 -5.545 0.403
Au Mg I
2 2 1
Direct
0.381 0.381 0.763 Au
0.619 0.619 0.237 Au
0.250 0.750 0.500 Mg
0.750 0.250 0.500 Mg
0.000 0.000 0.000 I
```

Values from the calculation:
- total DFT energy (no corrections) (eV for the cell shown) = -14.499
- energy relative to the elements, uncorrected (eV per atom) = -0.29
- size of the total moment (μB per cell) = 0.000

---

Entry 5:
# MgAuIO2

A relaxed structure of MgAuIO2 (GGA-PBEsol, Alexandria).

Geometry as POSCAR:
```
MgAuIO2
1.0
-2.058 -2.175 -2.862
3.272 -2.500 -0.453
-1.922 -3.209 3.820
O Mg I Au
2 1 1 1
Direct
0.000 0.500 0.000 O
0.500 0.000 0.000 O
0.500 0.500 0.500 Mg
0.000 0.000 0.500 I
0.000 0.000 0.000 Au
```

Values from the calculation:
- total DFT energy (no corrections) (eV for the cell shown) = -17.429
- energy relative to the elements, uncorrected (eV per atom) = 0.10
- size of the total moment (μB per cell) = 0.074

---

Entry 6:
# MgTc2AuI

A relaxed structure of MgTc2AuI (GGA-PBEsol, Alexandria).

Geometry as POSCAR:
```
MgTc2AuI
1.0
-0.135 -4.919 0.986
4.481 0.326 2.238
-2.436 1.015 4.729
Mg Tc I Au
1 2 1 1
Direct
0.500 0.500 0.500 Mg
0.000 0.500 0.000 Tc
0.500 0.000 0.000 Tc
0.000 0.000 0.500 I
0.000 0.000 0.000 Au
```

Values from the calculation:
- total DFT energy (no corrections) (eV for the cell shown) = -20.883
- energy relative to the elements, uncorrected (eV per atom) = 1.81
- size of the total moment (μB per cell) = 6.434

---

Entry 7:
# MnAu2SI

A relaxed structure of MnAu2SI (GGA-PBEsol, Alexandria).

Geometry as POSCAR:
```
MnAu2SI
1.0
-0.339 -4.042 -1.910
4.295 0.236 -1.262
2.066 -3.211 6.429
I Au Mn S
1 2 1 1
Direct
0.000 0.000 0.500 I
0.500 0.000 0.000 Au
0.000 0.500 0.000 Au
0.500 0.500 0.500 Mn
0.000 0.000 0.000 S
```

Values from the calculation:
- total DFT energy (no corrections) (eV for the cell shown) = -20.361
- energy relative to the elements, uncorrected (eV per atom) = 0.68
- size of the total moment (μB per cell) = 5.052

---

Entry 8:
# SrMnAuI2

A relaxed structure of SrMnAuI2 (GGA-PBEsol, Alexandria).

Geometry as POSCAR:
```
SrMnAuI2
1.0
-4.964 -0.048 0.272
0.044 -5.740 -0.220
0.316 -0.217 5.731
I Au Mn Sr
2 1 1 1
Direct
0.000 0.500 0.000 I
0.000 0.000 0.500 I
0.000 0.000 0.000 Au
0.500 0.000 0.000 Mn
0.500 0.500 0.500 Sr
```

Values from the calculation:
- total DFT energy (no corrections) (eV for the cell shown) = -18.794
- energy relative to the elements, uncorrected (eV per atom) = 0.05
- size of the total moment (μB per cell) = 4.339

---

Entry 9:
# MnTe2AuI

A relaxed structure of MnTe2AuI (GGA-PBEsol, Alexandria).

Geometry as POSCAR:
```
MnTe2AuI
1.0
5.400 0.000 0.000
0.000 5.400 0.000
0.000 0.000 5.393
I Te Mn Au
1 2 1 1
Direct
0.000 0.000 0.500 I
0.500 0.000 0.000 Te
0.000 0.500 0.000 Te
0.500 0.500 0.500 Mn
0.000 0.000 0.000 Au
```

Values from the calculation:
- total DFT energy (no corrections) (eV for the cell shown) = -18.745
- energy relative to the elements, uncorrected (eV per atom) = 0.75
- size of the total moment (μB per cell) = 5.070

---

Entry 10:
# MoAuI2

A relaxed structure of MoAuI2 (GGA-PBEsol, Alexandria).

Geometry as POSCAR:
```
MoAuI2
1.0
4.921 0.000 0.000
2.461 4.262 0.000
2.461 1.421 4.018
Mo I Au
1 2 1
Direct
0.000 0.000 0.000 Mo
0.750 0.750 0.750 I
0.250 0.250 0.250 I
0.500 0.500 0.500 Au
```

Values from the calculation:
- total DFT energy (no corrections) (eV for the cell shown) = -15.808
- energy relative to the elements, uncorrected (eV per atom) = 0.85
- size of the total moment (μB per cell) = 0.002

---

Entry 11:
# Te2MoAuI

A relaxed structure of Te2MoAuI (GGA-PBEsol, Alexandria).

Geometry as POSCAR:
```
Te2MoAuI
1.0
5.333 0.000 0.000
0.000 5.388 0.000
0.000 0.000 5.388
I Au Te Mo
1 1 2 1
Direct
0.500 0.000 0.000 I
0.000 0.000 0.000 Au
0.000 0.500 0.000 Te
0.000 0.000 0.500 Te
0.500 0.500 0.500 Mo
```

Values from the calculation:
- total DFT energy (no corrections) (eV for the cell shown) = -18.528
- energy relative to the elements, uncorrected (eV per atom) = 1.20
- size of the total moment (μB per cell) = 3.737

---

Entry 12:
# Au2IN

A relaxed structure of Au2IN (GGA-PBEsol, Alexandria).

Geometry as POSCAR:
```
Au2IN
1.0
-0.207 3.414 4.204
-1.942 -3.974 3.132
6.618 -1.241 -2.160
I Au N
2 4 2
Direct
0.250 0.750 0.500 I
0.000 0.000 0.000 I
0.625 0.875 0.250 Au
0.625 0.375 0.750 Au
0.125 0.375 0.750 Au
0.625 0.375 0.250 Au
0.750 0.250 0.500 N
0.500 0.500 0.000 N
```

Values from the calculation:
- total DFT energy (no corrections) (eV for the cell shown) = -30.999
- energy relative to the elements, uncorrected (eV per atom) = 0.66
- size of the total moment (μB per cell) = 0.000

---

Q: Among the records above, which one has the highest size of the total moment?
A: MgTc2AuI

---

What did the eleventh record say?
# Te2MoAuI

A relaxed structure of Te2MoAuI (GGA-PBEsol, Alexandria).

Geometry as POSCAR:
```
Te2MoAuI
1.0
5.333 0.000 0.000
0.000 5.388 0.000
0.000 0.000 5.388
I Au Te Mo
1 1 2 1
Direct
0.500 0.000 0.000 I
0.000 0.000 0.000 Au
0.000 0.500 0.000 Te
0.000 0.000 0.500 Te
0.500 0.500 0.500 Mo
```

Values from the calculation:
- total DFT energy (no corrections) (eV for the cell shown) = -18.528
- energy relative to the elements, uncorrected (eV per atom) = 1.20
- size of the total moment (μB per cell) = 3.737